This record from Alexandria describes a geometry-optimized RbCaCo2Cl8 structure. The functional is PBE.

a = 10.2632 Å, b = 10.2632 Å, c = 10.2632 Å
α = 37.05°, β = 37.05°, γ = 37.05°
Fractional coordinates of all 12 atoms:
Rb (0.0000, 0.0000, 0.0000)
Ca (0.5000, 0.5000, 0.5000)
Co (0.2486, 0.2486, 0.2486)
Co (0.7514, 0.7514, 0.7514)
Cl (0.0972, 0.7826, 0.4474)
Cl (0.2174, 0.5526, 0.9028)
Cl (0.3246, 0.3246, 0.3246)
Cl (0.4474, 0.0972, 0.7826)
Cl (0.5526, 0.9028, 0.2174)
Cl (0.6754, 0.6754, 0.6754)
Cl (0.7826, 0.4474, 0.0972)
Cl (0.9028, 0.2174, 0.5526)

Size of the total moment = 7.000 μB per formula unit
Space group = R-3 (148)
Mass density = 2.49 g/cm3
Total energy = -3.91 eV/atom

=====

This record from Alexandria describes a geometry-optimized RbCa2CoCl8 structure. The functional is PBE.

a = 6.1745 Å, b = 6.2002 Å, c = 8.6155 Å
α = 89.80°, β = 89.68°, γ = 88.40°
Fractional coordinates of all 12 atoms:
Rb (0.0000, 0.0000, 0.0000)
Ca (0.4982, 0.4989, 0.2572)
Ca (0.5018, 0.5011, 0.7428)
Co (0.0000, 0.0000, 0.5000)
Cl (0.2147, 0.8438, 0.6848)
Cl (0.2179, 0.8475, 0.3144)
Cl (0.2247, 0.2992, 0.5008)
Cl (0.2659, 0.4041, 0.0002)
Cl (0.7341, 0.5959, 0.9998)
Cl (0.7753, 0.7008, 0.4992)
Cl (0.7821, 0.1525, 0.6856)
Cl (0.7853, 0.1562, 0.3152)

Size of the total moment = 0.138 μB per formula unit
Space group = P-1 (2)
Mass density = 2.56 g/cm3
Total energy = -3.82 eV/atom

=====

This record from Alexandria describes a geometry-optimized RbCaCoCl2 structure. The functional is PBE.

a = 5.7619 Å, b = 5.7619 Å, c = 5.7331 Å
α = 90.00°, β = 90.00°, γ = 90.00°
Fractional coordinates of all 5 atoms:
Rb (0.0000, 0.0000, 0.0000)
Ca (0.5000, 0.5000, 0.5000)
Co (0.0000, 0.0000, 0.5000)
Cl (0.0000, 0.5000, 0.0000)
Cl (0.5000, 0.0000, 0.0000)

Size of the total moment = 2.000 μB per formula unit
Space group = P4/mmm (123)
Mass density = 2.23 g/cm3
Total energy = -2.78 eV/atom

=====

| no. | E_form (uncorrected) (eV/f.u.) |
| --- | --- |
| 1 | -15.00 |
| 2 | -19.01 |
| 3 | -0.15 |